Entry 1:
{"formula": "Tm2ScH", "functional": "PBE-GGA", "state": "relaxed", "lattice": [[3.487, 0.000, 0.000], [1.744, 3.020, 0.000], [1.744, 1.007, 8.041]], "species": ["H", "Tm", "Sc", "Tm"], "frac_coords": [[0.000, 0.000, 0.000], [0.723, 0.723, 0.831], [0.500, 0.500, 0.500], [0.277, 0.277, 0.169]], "polymorph_energy_kj_per_mol_atoms": 0.00, "total_energy_ev_per_cell": -19.31, "space_group": "No. 166"}

=====

Entry 2:
{"formula": "La2AgMo", "functional": "PBE-GGA", "state": "relaxed", "lattice": [[9.652, -0.025, -0.015], [8.984, 3.527, -0.015], [8.984, 1.689, 3.097]], "species": ["Mo", "La", "Ag", "La"], "frac_coords": [[0.250, 0.250, 0.250], [0.992, 0.992, 0.992], [0.750, 0.750, 0.750], [0.508, 0.508, 0.508]], "polymorph_energy_kj_per_mol_atoms": 19.31, "total_energy_ev_per_cell": -22.02, "space_group": "No. 166"}

=====

Entry 3:
{"formula": "MgCuSb", "functional": "PBE-GGA", "state": "relaxed", "lattice": [[-2.300, -2.304, 3.548], [1.080, -4.759, -2.391], [4.216, -0.206, 2.314]], "species": ["Sb", "Cu", "Sb", "Mg", "Cu", "Mg"], "frac_coords": [[0.530, 0.828, 0.289], [0.599, 0.578, 0.803], [0.113, 0.328, 0.873], [0.764, 0.328, 0.332], [0.599, 0.078, 0.803], [0.071, 0.828, 0.639]], "total_energy_ev_per_cell": -20.34, "space_group": "No. 40", "e_form_raw_ev_per_atom": -0.12}

=====

Entry 4:
{"formula": "CaSm4Co", "functional": "PBE-GGA", "state": "relaxed", "lattice": [[-0.664, 4.813, -3.914], [-2.708, -4.594, -5.190], [-5.998, 1.385, 7.238]], "species": ["Sm", "Ca", "Sm", "Co", "Co", "Ca", "Sm", "Sm", "Sm", "Sm", "Sm", "Sm"], "frac_coords": [[0.200, 0.681, 0.362], [0.813, 0.804, 0.609], [0.615, 0.357, 0.217], [0.339, 0.530, 0.061], [0.661, 0.470, 0.939], [0.187, 0.196, 0.391], [0.000, 0.742, 0.000], [0.385, 0.140, 0.783], [0.385, 0.643, 0.783], [0.615, 0.860, 0.217], [0.000, 0.258, 0.000], [0.800, 0.319, 0.638]], "total_energy_ev_per_cell": -55.73, "space_group": "No. 12"}

=====

Entry 5:
{"formula": "InCo2Br", "functional": "PBE-GGA", "state": "relaxed", "lattice": [[3.113, 0.000, 0.000], [0.000, 5.538, 0.000], [0.000, 0.000, 4.173]], "species": ["Br", "In", "Co", "Co"], "frac_coords": [[0.000, 0.500, 0.500], [0.500, 0.000, 0.500], [0.500, 0.500, 0.000], [0.000, 0.000, 0.000]], "polymorph_energy_kj_per_mol_atoms": 36.97, "total_energy_ev_per_cell": -16.07, "space_group": "No. 47", "e_form_raw_ev_per_atom": 0.64}

=====

Entry 6:
{"formula": "Ho6ErTe8", "functional": "PBE-GGA", "state": "relaxed", "lattice": [[-7.392, -4.156, -1.632], [-3.822, -4.615, 6.219], [-7.382, 2.776, 3.519]], "species": ["Te", "Te", "Ho", "Te", "Te", "Te", "Er", "Ho", "Te", "Ho", "Ho", "Te", "Ho", "Te", "Ho"], "frac_coords": [[0.750, 0.750, 0.750], [0.745, 0.255, 0.255], [0.000, 0.500, 0.000], [0.250, 0.250, 0.250], [0.255, 0.255, 0.745], [0.255, 0.745, 0.255], [0.000, 0.000, 0.000], [0.000, 0.500, 0.500], [0.255, 0.745, 0.745], [0.500, 0.000, 0.000], [0.500, 0.000, 0.500], [0.745, 0.745, 0.255], [0.500, 0.500, 0.000], [0.745, 0.255, 0.745], [0.000, 0.000, 0.500]], "total_energy_ev_per_cell": -77.16, "space_group": "No. 225", "e_form_raw_ev_per_atom": -1.33}

=====

- What is the formula in the second record?
  La2AgMo